{
  "formula": "Cd2CoSbF",
  "functional": "GGA+U",
  "state": "optimized geometry",
  "lattice": [[4.703, 0.000, 0.000], [0.000, 4.703, 0.000], [0.000, 0.000, 4.897]],
  "species": ["Cd", "Cd", "Co", "Sb", "F"],
  "frac_coords": [[0.000, 0.500, 0.000], [0.500, 0.000, 0.000], [0.000, 0.000, 0.500], [0.500, 0.500, 0.500], [0.500, 0.500, 0.000]],
  "energy_ha_per_atom": -0.092,
  "vol_a3_per_fu": 108.3,
  "m_tot_mub_per_atom": 0.41
}